IrSI | PBE | relaxed

Cell: 6.8909 3.6979 13.2387 Å, 90.00 91.25 90.00°
With the nearest neighbours (Å) after each atom.
Element x y z (fractional)
Ir 0.1888 0.5000 0.3031  2 S 2.29-2.30
Ir 0.1888 0.0000 0.8031  2 S 2.29-2.30
Ir 0.0870 0.0000 0.4458  4 S 2.38-2.40, 1 I 2.66
Ir 0.0870 0.5000 0.9458  4 S 2.38-2.40, 1 I 2.66
S 0.8996 0.0000 0.8864  3 Ir 2.30-2.38
S 0.8996 0.5000 0.3864  3 Ir 2.30-2.38
S 0.3059 0.5000 0.4662  3 Ir 2.29-2.40
S 0.3059 0.0000 0.9662  3 Ir 2.29-2.40
I 0.9437 0.0000 0.6311  2 Ir 2.66-2.80
I 0.4232 0.5000 0.7251  2 Ir 2.68
I 0.4232 0.0000 0.2251  2 Ir 2.68
I 0.9437 0.5000 0.1311  2 Ir 2.66-2.80

Summary:
E ... -4.9552 eV/atom
Space group ... Cm (8)
Formation energy (no corrections) ... -0.109 eV/atom